Run 1
DFT (GGA-PBEsol) results for crystalline Ta6Pb4O19 at its relaxed geometry.

Cell lengths 7.4563, 7.4563, 18.2503 Å; angles 90.37, 90.37, 59.74 degrees
Element x y z (fractional)
Ta 0.0000 0.0000 0.0000
Ta 0.0000 0.5000 0.5000
Ta 0.1655 0.6663 0.8310
Ta 0.1666 0.1666 0.8291
Ta 0.3337 0.8345 0.1690
Ta 0.3348 0.3348 0.6639
Ta 0.5000 0.0000 0.5000
Ta 0.5000 0.5000 0.5000
Ta 0.6652 0.6652 0.3361
Ta 0.6663 0.1655 0.8310
Ta 0.8334 0.8334 0.1709
Ta 0.8345 0.3337 0.1690
Pb 0.0000 0.0000 0.5000
Pb 0.0000 0.5000 0.0000
Pb 0.1871 0.1871 0.3254
Pb 0.3460 0.3460 0.1776
Pb 0.5000 0.0000 0.0000
Pb 0.5000 0.5000 0.0000
Pb 0.6540 0.6540 0.8224
Pb 0.8129 0.8129 0.6746
O 0.0789 0.4617 0.6042
O 0.0853 0.4599 0.8562
O 0.1265 0.1265 0.1913
O 0.1273 0.1273 0.9399
O 0.1278 0.7446 0.9378
O 0.1289 0.7439 0.1841
O 0.1881 0.5910 0.7271
O 0.2015 0.5934 0.4814
O 0.2034 0.2034 0.4750
O 0.2129 0.2129 0.7316
O 0.2554 0.8722 0.0622
O 0.2561 0.8711 0.8159
O 0.3363 0.3363 0.0621
O 0.4066 0.7985 0.5186
O 0.4090 0.8119 0.2729
O 0.4551 0.4551 0.6027
O 0.4599 0.0853 0.8562
O 0.4617 0.0789 0.6042
O 0.4630 0.4630 0.8492
O 0.5370 0.5370 0.1508
O 0.5383 0.9211 0.3958
O 0.5401 0.9147 0.1438
O 0.5449 0.5449 0.3973
O 0.5910 0.1881 0.7271
O 0.5934 0.2015 0.4814
O 0.6637 0.6637 0.9379
O 0.7439 0.1289 0.1841
O 0.7446 0.1278 0.9378
O 0.7871 0.7871 0.2684
O 0.7966 0.7966 0.5250
O 0.7985 0.4066 0.5186
O 0.8119 0.4090 0.2729
O 0.8711 0.2561 0.8159
O 0.8722 0.2554 0.0622
O 0.8727 0.8727 0.0601
O 0.8735 0.8735 0.8087
O 0.9147 0.5401 0.1438
O 0.9211 0.5383 0.3958

Calculated values
V = 876 Å³/cell
calculated density = 8.4 g cm⁻³
total magnetization = 0.00 Bohr magnetons per cell
SG = C2/m (12)

=====

Run 2
DFT (GGA-PBEsol) results for crystalline Ta6Pb4O19 at its relaxed geometry.

Cell lengths 12.8987, 12.8987, 12.8987 Å; angles 146.53, 59.99, 131.76 degrees
Element x y z (fractional)
Ta 0.0000 0.0000 0.0000
Ta 0.1674 0.0020 0.1654
Ta 0.1682 0.0000 0.6682
Ta 0.1682 0.5000 0.1682
Ta 0.3366 0.0020 0.3346
Ta 0.5000 0.0000 0.0000
Ta 0.5000 0.0000 0.5000
Ta 0.5000 0.5000 0.5000
Ta 0.6634 0.9980 0.6654
Ta 0.8318 0.0000 0.3318
Ta 0.8318 0.5000 0.8318
Ta 0.8326 0.9980 0.8346
Pb 0.0000 0.0000 0.5000
Pb 0.0000 0.5000 0.0000
Pb 0.0000 0.5000 0.5000
Pb 0.1827 0.5168 0.6659
Pb 0.3509 0.5168 0.8341
Pb 0.5000 0.5000 0.0000
Pb 0.6491 0.4832 0.1659
Pb 0.8173 0.4832 0.3341
O 0.0203 0.0659 0.3395
O 0.0203 0.6808 0.9544
O 0.0997 0.3171 0.1753
O 0.0997 0.9244 0.7827
O 0.1036 0.6841 0.4195
O 0.1388 0.0551 0.0837
O 0.1581 0.4081 0.7500
O 0.1792 0.9292 0.2500
O 0.2264 0.0659 0.5456
O 0.2264 0.6808 0.1605
O 0.2354 0.3159 0.9195
O 0.3107 0.3136 0.3803
O 0.3107 0.9305 0.9971
O 0.3583 0.0756 0.6753
O 0.3583 0.6829 0.2827
O 0.4334 0.3136 0.5029
O 0.4334 0.9305 0.1197
O 0.4341 0.6841 0.7500
O 0.4714 0.0551 0.4163
O 0.5286 0.9449 0.5837
O 0.5659 0.3159 0.2500
O 0.5666 0.0695 0.8803
O 0.5666 0.6864 0.4971
O 0.6417 0.3171 0.7173
O 0.6417 0.9244 0.3247
O 0.6893 0.0695 0.0029
O 0.6893 0.6864 0.6197
O 0.7646 0.6841 0.0805
O 0.7736 0.3192 0.8395
O 0.7736 0.9341 0.4544
O 0.8208 0.0708 0.7500
O 0.8419 0.5919 0.2500
O 0.8612 0.9449 0.9163
O 0.8964 0.3159 0.5805
O 0.9003 0.0756 0.2173
O 0.9003 0.6829 0.8247
O 0.9797 0.3192 0.0456
O 0.9797 0.9341 0.6605

Calculated values
V = 875 Å³/cell
calculated density = 8.4 g cm⁻³
total magnetization = 0.00 Bohr magnetons per cell
SG = Imma (74)

=====

Which structure above is the least stable one? run 1 is the least stable one.